A geometry-optimized TlAs2PtF structure, computed with PBE.

a = 4.397 Å, b = 4.397 Å, c = 5.176 Å
α = 90.00°, β = 90.00°, γ = 90.00°
Element x y z (fractional)
Tl1 0.000 0.000 0.000
As1 0.000 0.500 0.500
As2 0.500 0.000 0.500
Pt1 0.500 0.500 0.000
F1 0.500 0.500 0.500

- Size of the total moment: 0.00 Bohr magnetons per cell
- Uncorrected formation energy: 0.364 eV per atom
- DFT total energy: -17.76 eV per cell
- Volume: 100.1 Å³/cell
- Space-group type: P4/mmm (123)